(1)
{
  "formula": "TiCoSb",
  "functional": "PBE-GGA",
  "state": "optimized geometry",
  "formation_energy_uncorrected_ev_per_atom": -0.1276,
  "sg": "Imm2, No. 44",
  "dos_ef_per_ev_cell": 6.58,
  "cell": [[14.378, 0.000, 0.000], [0.000, 3.444, 0.000], [7.189, 1.722, 3.236]],
  "species": ["Co", "Co", "Co", "Ti", "Ti", "Ti", "Sb", "Sb", "Sb"],
  "fractional_positions": [[0.417, 0.778, 0.444], [0.140, 0.778, 0.444], [0.824, 0.824, 0.352], [0.022, 0.408, 0.184], [0.794, 0.408, 0.184], [0.187, 0.187, 0.625], [0.780, 0.577, 0.847], [0.373, 0.577, 0.847], [0.525, 0.025, 0.950]]
}

=====

(2)
{
  "formula": "PrHoScHg",
  "functional": "PBE-GGA",
  "state": "optimized geometry",
  "sg": "F-43m, No. 216",
  "dos_ef_per_ev_cell": 5.57,
  "cell": [[-2.846, -3.167, -3.301], [-4.021, -3.007, 1.955], [-5.109, 1.238, -1.180]],
  "species": ["Hg", "Pr", "Sc", "Ho"],
  "fractional_positions": [[0.500, 0.500, 0.500], [0.250, 0.250, 0.250], [0.000, 0.000, 0.000], [0.750, 0.750, 0.750]]
}

=====

(3)
{
  "formula": "CsRb2TiRh",
  "functional": "PBE-GGA",
  "state": "optimized geometry",
  "sg": "P4/mmm, No. 123",
  "dos_ef_per_ev_cell": 28.34,
  "cell": [[-3.603, 0.093, -5.455], [5.033, -0.925, -3.340], [-0.876, -6.462, 0.469]],
  "species": ["Cs", "Rb", "Rb", "Ti", "Rh"],
  "fractional_positions": [[0.000, 0.500, 0.000], [0.000, 0.000, 0.500], [0.500, 0.000, 0.000], [0.000, 0.000, 0.000], [0.500, 0.500, 0.500]]
}

=====

(4)
{
  "formula": "SrPa4S8",
  "functional": "PBE-GGA",
  "state": "optimized geometry",
  "formation_energy_uncorrected_ev_per_atom": -1.6066,
  "polymorph_energy_ev_per_atom": 0.000,
  "sg": "C2/m, No. 12",
  "dos_ef_per_ev_cell": 18.91,
  "cell": [[-3.752, 6.973, -0.791], [-3.888, -6.763, -1.572], [1.667, -0.599, 8.101]],
  "species": ["S", "S", "S", "S", "S", "S", "S", "S", "Pa", "Pa", "Pa", "Pa", "Sr"],
  "fractional_positions": [[0.185, 0.026, 0.212], [0.815, 0.974, 0.788], [0.830, 0.497, 0.791], [0.308, 0.492, 0.801], [0.170, 0.503, 0.209], [0.706, 0.040, 0.209], [0.692, 0.508, 0.199], [0.294, 0.960, 0.791], [0.751, 0.751, 0.000], [0.267, 0.767, 0.033], [0.249, 0.249, 0.000], [0.733, 0.233, 0.967], [0.000, 0.500, 0.500]]
}

=====

(5)
{
  "formula": "La2GaSe",
  "functional": "PBE-GGA",
  "state": "optimized geometry",
  "formation_energy_uncorrected_ev_per_atom": -1.2134,
  "polymorph_energy_ev_per_atom": 0.079,
  "sg": "R-3m, No. 166",
  "dos_ef_per_ev_cell": 2.44,
  "cell": [[4.238, 0.000, 0.000], [2.119, 3.670, 0.000], [2.119, 1.223, 7.693]],
  "species": ["La", "La", "Ga", "Se"],
  "fractional_positions": [[0.247, 0.247, 0.258], [0.753, 0.753, 0.742], [0.000, 0.000, 0.000], [0.500, 0.500, 0.500]]
}

=====

(6)
{
  "formula": "Tb4DyMgS8",
  "functional": "PBE-GGA",
  "state": "optimized geometry",
  "formation_energy_uncorrected_ev_per_atom": -1.9174,
  "sg": "R3m, No. 160",
  "dos_ef_per_ev_cell": 3.47,
  "cell": [[8.004, 0.000, 0.000], [4.002, 6.931, 0.000], [4.002, 2.310, 6.530]],
  "species": ["S", "S", "S", "S", "S", "S", "S", "S", "Dy", "Tb", "Tb", "Tb", "Tb", "Mg"],
  "fractional_positions": [[0.759, 0.224, 0.257], [0.224, 0.759, 0.257], [0.247, 0.247, 0.260], [0.246, 0.761, 0.748], [0.758, 0.758, 0.725], [0.759, 0.759, 0.257], [0.761, 0.246, 0.748], [0.246, 0.246, 0.748], [0.003, 0.003, 0.992], [0.003, 0.492, 0.503], [0.492, 0.003, 0.503], [0.625, 0.625, 0.125], [0.003, 0.003, 0.503], [0.375, 0.375, 0.875]]
}

=====

(7)
{
  "formula": "Mg2Ge2O7",
  "functional": "PBE-GGA",
  "state": "optimized geometry",
  "formation_energy_uncorrected_ev_per_atom": -1.6700,
  "sg": "Fd-3m, No. 227",
  "dos_ef_per_ev_cell": 16.70,
  "cell": [[5.955, 0.000, 3.438], [1.985, 5.614, 3.438], [0.000, 0.000, 6.876]],
  "species": ["O", "O", "O", "O", "O", "O", "O", "O", "O", "O", "O", "O", "O", "O", "Mg", "Mg", "Mg", "Mg", "Ge", "Ge", "Ge", "Ge"],
  "fractional_positions": [[0.455, 0.455, 0.045], [0.205, 0.205, 0.795], [0.045, 0.455, 0.045], [0.500, 0.500, 0.500], [0.205, 0.795, 0.205], [0.455, 0.045, 0.045], [0.795, 0.795, 0.205], [0.045, 0.455, 0.455], [0.205, 0.795, 0.795], [0.795, 0.205, 0.795], [0.750, 0.750, 0.750], [0.045, 0.045, 0.455], [0.455, 0.045, 0.455], [0.795, 0.205, 0.205], [0.625, 0.625, 0.625], [0.625, 0.625, 0.125], [0.625, 0.125, 0.625], [0.125, 0.625, 0.625], [0.125, 0.625, 0.125], [0.625, 0.125, 0.125], [0.125, 0.125, 0.625], [0.125, 0.125, 0.125]]
}

=====

(8)
{
  "formula": "Sc3PaTl3Te8",
  "functional": "PBE-GGA",
  "state": "optimized geometry",
  "formation_energy_uncorrected_ev_per_atom": -0.9036,
  "sg": "C2/m, No. 12",
  "dos_ef_per_ev_cell": 7.45,
  "cell": [[-4.283, -5.221, 5.154], [-1.149, -0.444, -8.406], [8.274, -3.485, 3.346]],
  "species": ["Te", "Te", "Te", "Te", "Te", "Te", "Te", "Te", "Tl", "Tl", "Tl", "Pa", "Sc", "Sc", "Sc"],
  "fractional_positions": [[0.243, 0.967, 0.709], [0.266, 0.532, 0.298], [0.275, 0.033, 0.291], [0.725, 0.967, 0.709], [0.757, 0.515, 0.290], [0.734, 0.468, 0.702], [0.757, 0.033, 0.291], [0.243, 0.485, 0.710], [0.000, 0.000, 0.000], [0.500, 0.500, 0.000], [0.000, 0.500, 0.000], [0.000, 0.000, 0.500], [0.500, 0.000, 0.500], [0.000, 0.500, 0.500], [0.500, 0.500, 0.500]]
}

=====

(9)
{
  "formula": "ZnInSe2",
  "functional": "PBE-GGA",
  "state": "optimized geometry",
  "formation_energy_uncorrected_ev_per_atom": -0.0177,
  "sg": "P4/mmm, No. 123",
  "dos_ef_per_ev_cell": 1.87,
  "cell": [[3.520, 0.000, 0.000], [0.000, 3.520, 0.000], [0.000, 0.000, 6.935]],
  "species": ["In", "Se", "Se", "Zn"],
  "fractional_positions": [[0.500, 0.500, 0.750], [0.000, 0.000, 0.472], [0.000, 0.000, 0.028], [0.500, 0.500, 0.250]]
}

=====

Number 1: E_tot -6.502 eV per atom, magnetization 0.00 μB per cell. Number 2: E_tot -4.076 eV per atom, magnetization 0.47 μB per cell. Number 3: E_tot -1.946 eV per atom, magnetization 3.49 μB per cell. Number 4: E_tot -7.198 eV per atom, magnetization 6.06 μB per cell. Number 5: E_tot -5.305 eV per atom, magnetization 0.00 μB per cell. Number 6: E_tot -6.041 eV per atom, magnetization 0.00 μB per cell. Number 7: E_tot -5.955 eV per atom, magnetization 4.08 μB per cell. Number 8: E_tot -4.952 eV per atom, magnetization 1.09 μB per cell. Number 9: E_tot -2.763 eV per atom, magnetization 0.00 μB per cell.